# 1
Material: Ni3OsN
Method: DFT, PBE
State: relaxed

The space group is Pm-3m (No. 221) and the conventional cell measures 3.776, 3.776 and 3.776 Å, with angles of 90.00, 90.00 and 90.00 degrees. Symmetry generates all atoms from Ni at (0.000, 0.000, 0.500), Os at (0.500, 0.500, 0.500) and N at (0.000, 0.000, 0.000).

The density of states at the Fermi level comes out at 6.83 states/eV/f.u. The calculation puts the total moment at 0.000 μB per atom. The formation energy without anion corrections is 2.26 eV per formula unit. Its uncorrected energy is -6.93 eV/atom.

---

# 2
Material: EuCu2Sb2
Method: DFT, PBE
State: relaxed

The space group is P4/nmm (No. 129, origin choice 2) and the conventional cell measures 4.572, 4.572 and 10.658 Å, with angles of 90.00, 90.00 and 90.00 degrees. Symmetry generates all atoms from Eu at (0.250, 0.250, 0.238), Cu at (0.250, 0.250, 0.632), Cu at (0.250, 0.750, 0.000), Sb at (0.250, 0.250, 0.871) and Sb at (0.250, 0.750, 0.500).

The density of states at the Fermi level comes out at 10.19 states/eV/f.u. The calculation puts the total moment at 1.374 μB per atom. The formation energy without anion corrections is -2.23 eV per formula unit. Its uncorrected energy is -5.79 eV/atom.